Entry 1:
An optimized crystal structure of Pr8NiC3Br4, computed with PBE-GGA.

Raw formation energy, kJ/mol of formula units: -1217
SG: No. 12

a b c (Å): 7.8413 8.7860 7.8489
angles (deg): 116.57 119.97 90.00
With the nearest neighbours (Å) after each atom.
Element x y z (fractional)
Pr 0.2385 0.6896 0.9513  2 C 2.63, 1 Ni 2.78
Pr 0.2388 0.6897 0.4777  2 C 2.63, 1 Ni 2.78
Pr 0.2718 0.3153 0.5435  3 C 2.66
Pr 0.7128 0.6896 0.9513  2 C 2.63, 1 Ni 2.78
Pr 0.2872 0.3104 0.0487  2 C 2.63, 1 Ni 2.78
Pr 0.7282 0.6847 0.4565  3 C 2.66
Pr 0.7612 0.3103 0.5223  2 C 2.63, 1 Ni 2.78
Pr 0.7615 0.3104 0.0487  2 C 2.63, 1 Ni 2.78
Ni 0.0000 0.5000 0.0000  6 Pr 2.78
C 0.5000 0.5000 0.0000  6 Pr 2.63-2.66
C 0.5000 0.5000 0.5000  6 Pr 2.63-2.66
C 0.0000 0.5000 0.5000  6 Pr 2.63-2.66
Br 0.5000 0.0000 0.0000  6 Pr 3.17
Br 0.5000 0.0000 0.5000  6 Pr 3.28-3.30
Br 0.0000 0.0000 0.0000  6 Pr 3.28-3.30
Br 0.0000 0.0000 0.5000  6 Pr 3.28-3.30

---

Entry 2:
An optimized crystal structure of CrNiHIr2, computed with PBE-GGA.

Relative energy among the computed polymorphs, meV/atom: 0
SG: No. 123

a b c (Å): 3.8952 3.8952 3.6834
angles (deg): 90.00 90.00 90.00
With the nearest neighbours (Å) after each atom.
Element x y z (fractional)
Ni 0.0000 0.0000 0.5000  2 H 1.84
Ir 0.0000 0.5000 0.0000  2 H 1.95
Ir 0.5000 0.0000 0.0000  2 H 1.95
H 0.0000 0.0000 0.0000  2 Ni 1.84, 4 Ir 1.95
Cr 0.5000 0.5000 0.5000  8 Ir 2.68, 4 Ni 2.75

---

Entry 3:
An optimized crystal structure of Tl3Re, computed with PBE-GGA.

Relative energy among the computed polymorphs, meV/atom: 580
Energy of formation, eV/atom: 1.113
SG: No. 221

a b c (Å): 4.5995 4.5995 4.5995
angles (deg): 90.00 90.00 90.00
With the nearest neighbours (Å) after each atom.
Element x y z (fractional)
Re 0.0000 0.0000 0.0000  12 Tl 3.25
Tl 0.0000 0.5000 0.5000  8 Tl 3.25, 4 Re 3.25
Tl 0.5000 0.0000 0.5000  8 Tl 3.25, 4 Re 3.25
Tl 0.5000 0.5000 0.0000  8 Tl 3.25, 4 Re 3.25

---

Entry 4:
An optimized crystal structure of BaCrAg2Te, computed with PBE-GGA.

Raw formation energy, kJ/mol of formula units: 507
SG: No. 123

a b c (Å): 5.9765 6.4776 5.9765
angles (deg): 90.00 90.00 90.00
With the nearest neighbours (Å) after each atom.
Element x y z (fractional)
Cr 0.5000 0.5000 0.5000  4 Te 4.23, 8 Ag 4.41
Te 0.0000 0.5000 0.0000  2 Ba 3.24
Ba 0.0000 0.0000 0.0000  4 Ag 2.99, 2 Te 3.24
Ag 0.0000 0.0000 0.5000  2 Ba 2.99
Ag 0.5000 0.0000 0.0000  2 Ba 2.99

---

Entry 5:
An optimized crystal structure of Ba2Zn2Ni, computed with PBE-GGA.

Relative energy among the computed polymorphs, meV/atom: 205
Energy of formation, eV/atom: 0.090
SG: No. 139

a b c (Å): 3.8146 3.8146 10.2024
angles (deg): 79.23 79.23 90.00
With the nearest neighbours (Å) after each atom.
Element x y z (fractional)
Ni 0.0000 0.0000 0.0000  8 Ba 3.27
Zn 0.7500 0.2500 0.5000  4 Zn 2.70
Zn 0.2500 0.7500 0.5000  4 Zn 2.70
Ba 0.4059 0.4059 0.1882  4 Ni 3.27, 4 Zn 3.61
Ba 0.5941 0.5941 0.8118  4 Ni 3.27, 4 Zn 3.61

---

Entry 6:
An optimized crystal structure of Re2HgSb, computed with PBE-GGA.

Relative energy among the computed polymorphs, meV/atom: 683
Raw formation energy, kJ/mol of formula units: 398
SG: No. 216

a b c (Å): 4.7018 4.7018 4.7018
angles (deg): 60.00 60.00 60.00
With the nearest neighbours (Å) after each atom.
Element x y z (fractional)
Hg 0.5000 0.5000 0.5000  4 Re 2.88, 4 Sb 2.88
Re 0.0000 0.0000 0.0000  4 Re 2.88, 4 Sb 2.88
Re 0.2500 0.2500 0.2500  4 Re 2.88, 4 Hg 2.88
Sb 0.7500 0.7500 0.7500  4 Re 2.88, 4 Hg 2.88

---

Entry 7:
An optimized crystal structure of Pr2UP3Rh4, computed with PBE-GGA.

Energy of formation, eV/atom: -0.947
SG: No. 115

a b c (Å): 4.0854 4.0854 11.0223
angles (deg): 90.00 90.00 90.00
With the nearest neighbours (Å) after each atom.
Element x y z (fractional)
Pr 0.5000 0.0000 0.2234  4 P 3.08, 8 Rh 3.17-3.20
Pr 0.0000 0.5000 0.7766  4 P 3.08, 8 Rh 3.17-3.20
U 0.5000 0.5000 0.5000  4 Rh 2.68, 4 P 2.89
P 0.0000 0.0000 0.5000  4 Rh 2.68, 4 U 2.89
P 0.5000 0.0000 0.8742  5 Rh 2.39-2.47
P 0.0000 0.5000 0.1258  5 Rh 2.39-2.47
Rh 0.5000 0.5000 0.0000  4 P 2.47
Rh 0.0000 0.0000 0.0000  4 P 2.47
Rh 0.5000 0.0000 0.6571  3 P 2.39-2.68, 2 U 2.68
Rh 0.0000 0.5000 0.3429  3 P 2.39-2.68, 2 U 2.68

---

Entry 8:
An optimized crystal structure of Hf3Ga2N, computed with PBE-GGA.

Raw formation energy, kJ/mol of formula units: -358
SG: No. 65

a b c (Å): 3.1376 4.9973 7.3414
angles (deg): 109.90 90.00 90.00
With the nearest neighbours (Å) after each atom.
Element x y z (fractional)
Hf 0.5000 0.8940 0.7881  2 N 2.15
Hf 0.5000 0.1060 0.2119  2 N 2.15
Hf 0.0000 0.5000 0.0000  2 N 2.50
Ga 0.5000 0.3140 0.6280  5 Hf 2.73-3.01, 2 Ga 3.06
Ga 0.5000 0.6860 0.3720  5 Hf 2.73-3.01, 2 Ga 3.06
N 0.0000 0.0000 0.0000  4 Hf 2.15

---

Please write out number 7 again, unchanged.
An optimized crystal structure of Pr2UP3Rh4, computed with PBE-GGA.

Energy of formation, eV/atom: -0.947
SG: No. 115

a b c (Å): 4.0854 4.0854 11.0223
angles (deg): 90.00 90.00 90.00
With the nearest neighbours (Å) after each atom.
Element x y z (fractional)
Pr 0.5000 0.0000 0.2234  4 P 3.08, 8 Rh 3.17-3.20
Pr 0.0000 0.5000 0.7766  4 P 3.08, 8 Rh 3.17-3.20
U 0.5000 0.5000 0.5000  4 Rh 2.68, 4 P 2.89
P 0.0000 0.0000 0.5000  4 Rh 2.68, 4 U 2.89
P 0.5000 0.0000 0.8742  5 Rh 2.39-2.47
P 0.0000 0.5000 0.1258  5 Rh 2.39-2.47
Rh 0.5000 0.5000 0.0000  4 P 2.47
Rh 0.0000 0.0000 0.0000  4 P 2.47
Rh 0.5000 0.0000 0.6571  3 P 2.39-2.68, 2 U 2.68
Rh 0.0000 0.5000 0.3429  3 P 2.39-2.68, 2 U 2.68

---

Repeat the second record exactly.
An optimized crystal structure of CrNiHIr2, computed with PBE-GGA.

Relative energy among the computed polymorphs, meV/atom: 0
SG: No. 123

a b c (Å): 3.8952 3.8952 3.6834
angles (deg): 90.00 90.00 90.00
With the nearest neighbours (Å) after each atom.
Element x y z (fractional)
Ni 0.0000 0.0000 0.5000  2 H 1.84
Ir 0.0000 0.5000 0.0000  2 H 1.95
Ir 0.5000 0.0000 0.0000  2 H 1.95
H 0.0000 0.0000 0.0000  2 Ni 1.84, 4 Ir 1.95
Cr 0.5000 0.5000 0.5000  8 Ir 2.68, 4 Ni 2.75

---

Number 1 is which compound?
Pr8NiC3Br4